4
Lattice="-0.832 -5.314 -1.931 3.090 -4.385 -1.971 0.673 -2.714 2.892" Properties=species:S:1:pos:R:3 comment="CaZnP2, relaxed, DFT GGA-PBE" ef_ev_per_atom=-0.57 pbc="T T T"
Ca 2.189 -9.240 0.003
P 0.502 -2.069 1.165
P 0.909 -3.845 -0.144
Zn 1.468 -6.180 0.352

6
Lattice="-3.293 -1.925 0.441 0.966 -2.720 -4.661 3.835 -4.975 6.922" Properties=species:S:1:pos:R:3 comment="La2Tm3In, relaxed, DFT GGA-PBE" ef_ev_per_atom=-0.12 pbc="T T T"
La 2.060 -3.674 -0.653
La 2.740 -4.021 2.914
Tm -0.438 -2.735 1.506
Tm -1.163 -2.322 -2.110
Tm 1.946 -6.884 1.197
In 0.000 0.000 0.000

no.,M_tot (μB/f.u.),volume (A^3/atom)
1,0.0,20.00
2,0.0,31.35